w) PmSmBr6 | PBE-GGA | relaxed

Computed properties:
The calculation puts the spin magnetization at 0.00 μB/f.u. The space group is No. 12.

Structure (POSCAR):
```
PmSmBr6
1.0
-0.2690 -7.1360 0.4198
7.1745 0.6186 -2.3460
-2.2663 1.5281 7.0632
Pm Sm Br
1 1 6
Direct
0.0000 0.0000 0.0000 Pm
0.5000 0.5000 0.5000 Sm
0.7492 0.6024 0.8944 Br
0.7492 0.8944 0.6024 Br
0.2508 0.1056 0.3976 Br
0.2508 0.3976 0.1056 Br
0.7491 0.2503 0.2503 Br
0.2509 0.7497 0.7497 Br
```


x) PmSmBr6 | PBE-GGA | relaxed

Computed properties:
The calculation puts the spin magnetization at 0.00 μB/f.u. The space group is No. 148.

Structure (POSCAR):
```
PmSmBr6
1.0
-3.8144 -6.0693 -0.5490
3.3297 -6.3686 0.1964
-0.8504 -4.3053 6.4250
Pm Sm Br
1 1 6
Direct
0.0000 0.0000 0.0000 Pm
0.5000 0.5000 0.5000 Sm
0.0912 0.4104 0.7493 Br
0.7490 0.0913 0.7495 Br
0.5897 0.2509 0.2507 Br
0.2510 0.9087 0.2505 Br
0.9088 0.5896 0.2507 Br
0.4103 0.7491 0.7493 Br
```


Verdict on stability: x) comes out at the bottom.


w) Pm2SnBr | PBE-GGA | relaxed

Computed properties:
The calculation puts the spin magnetization at 0.00 μB/f.u. The space group is No. 123.

Structure (POSCAR):
```
Pm2SnBr
1.0
-2.4151 2.4327 -1.0247
-2.2420 -1.1573 2.5367
3.2863 5.5531 5.4378
Sn Br Pm
1 1 2
Direct
0.5000 0.5000 0.5000 Sn
0.5000 0.5000 0.0000 Br
0.0000 0.0000 0.7479 Pm
0.0000 0.0000 0.2521 Pm
```


x) Pm2SnBr | PBE-GGA | relaxed

Computed properties:
The calculation puts the spin magnetization at 0.00 μB/f.u. The space group is No. 160.

Structure (POSCAR):
```
Pm2SnBr
1.0
4.3800 0.0000 0.0000
2.1900 3.7931 0.0000
2.1900 1.2644 7.6932
Pm Sn Br
2 1 1
Direct
0.0747 0.0747 0.7758 Pm
0.2598 0.2598 0.2205 Pm
0.6681 0.6681 0.9956 Sn
0.4973 0.4973 0.5081 Br
```


y) Pm2SnBr | PBE-GGA | relaxed

Computed properties:
The calculation puts the spin magnetization at 0.00 μB/f.u. The space group is No. 225.

Structure (POSCAR):
```
Pm2SnBr
1.0
5.4206 0.0000 0.0000
2.7103 4.6944 0.0000
2.7103 1.5648 4.4259
Sn Br Pm
1 1 2
Direct
0.5000 0.5000 0.5000 Sn
0.0000 0.0000 0.0000 Br
0.2500 0.2500 0.2500 Pm
0.7500 0.7500 0.7500 Pm
```


z) Pm2SnBr | PBE-GGA | relaxed

Computed properties:
The calculation puts the spin magnetization at 0.00 μB/f.u. The space group is No. 166.

Structure (POSCAR):
```
Pm2SnBr
1.0
-0.7808 -2.3840 -2.6205
-0.1052 -3.5482 0.7482
-9.8934 -1.2326 1.5582
Sn Br Pm
1 1 2
Direct
0.5000 0.5000 0.5000 Sn
0.0000 0.0000 0.0000 Br
0.7459 0.7459 0.7624 Pm
0.2541 0.2541 0.2376 Pm
```


Verdict on stability: z) comes out at the bottom.


w) PmSn2Br8 | PBE-GGA | relaxed

Computed properties:
The calculation puts the spin magnetization at 0.00 μB/f.u. The space group is No. 12.

Structure (POSCAR):
```
PmSn2Br8
1.0
8.0150 1.0433 0.7916
1.3205 7.9853 -0.3167
1.3205 1.8451 7.7756
Pm Sn Br
1 2 8
Direct
0.0000 0.0000 0.0000 Pm
0.6246 0.8589 0.8589 Sn
0.3754 0.1411 0.1411 Sn
0.1810 0.2824 0.8902 Br
0.8190 0.1098 0.7176 Br
0.3096 0.7950 0.7950 Br
0.6904 0.2050 0.2050 Br
0.1810 0.8902 0.2824 Br
0.8190 0.7176 0.1098 Br
0.8106 0.6465 0.6465 Br
0.1894 0.3535 0.3535 Br
```


x) PmSn2Br8 | PBE-GGA | relaxed

Computed properties:
The calculation puts the spin magnetization at 0.00 μB/f.u. The space group is No. 12.

Structure (POSCAR):
```
PmSn2Br8
1.0
7.6926 -0.1452 1.7615
1.7274 7.4775 2.2939
0.2856 0.3019 7.9992
Pm Sn Br
1 2 8
Direct
0.0000 0.0000 0.0000 Pm
0.8103 0.6507 0.6507 Sn
0.1897 0.3493 0.3493 Sn
0.7596 0.9592 0.3455 Br
0.2404 0.6545 0.0408 Br
0.7520 0.8773 0.8773 Br
0.2480 0.1227 0.1227 Br
0.7596 0.3455 0.9592 Br
0.2404 0.0408 0.6545 Br
0.1667 0.5840 0.5840 Br
0.8333 0.4160 0.4160 Br
```


Verdict on stability: w) comes out at the bottom.